Entry 1:
Density functional theory data (PBE) for a geometry-optimized TlHgCl2 structure.

Lattice parameters (Å, degrees): 5.6885 5.7517 8.6158 107.88 90.00 90.00
Last column: nearest neighbours and their distance in Å.
Positions (direct):
Tl 0.0280 0.2037 0.7278  8 Cl 3.31-3.37
Tl 0.5363 0.7037 0.7279  8 Cl 3.31-3.37
Hg 0.2821 0.9537 0.2279  2 Cl 2.73, 2 Hg 2.88
Hg 0.2822 0.4537 0.2279  2 Cl 2.73, 2 Hg 2.88
Cl 0.0409 0.8025 0.9397  1 Hg 2.73
Cl 0.0409 0.6050 0.5160  1 Hg 2.73
Cl 0.5234 0.3025 0.9397  1 Hg 2.73
Cl 0.5233 0.1050 0.5160  1 Hg 2.73

Calculated values
**Energy above the most stable polymorph in this dataset**: 0.052 eV per atom
**Spin magnetization**: 0.0 μB per formula unit
**E_form (uncorrected)**: -13.278 kcal/mol of atoms

=====

Entry 2:
Density functional theory data (PBE) for a geometry-optimized CuIr2Au structure.

Lattice parameters (Å, degrees): 3.6982 3.6982 9.8380 79.17 79.17 90.00
Last column: nearest neighbours and their distance in Å.
Positions (direct):
Ir 0.6092 0.1250 0.2500  4 Ir 2.53-2.70, 2 Cu 2.69, 2 Au 2.73
Ir 0.1408 0.6250 0.2500  4 Ir 2.53-2.70, 2 Cu 2.69, 2 Au 2.73
Ir 0.3750 0.3908 0.7500  4 Ir 2.53-2.70, 2 Cu 2.69, 2 Au 2.73
Ir 0.8750 0.8592 0.7500  4 Ir 2.53-2.70, 2 Cu 2.69, 2 Au 2.73
Au 0.0000 0.0000 0.0000  4 Cu 2.62, 4 Ir 2.73
Au 0.7500 0.2500 0.5000  4 Cu 2.62, 4 Ir 2.73
Cu 0.5000 0.5000 0.0000  4 Au 2.62, 4 Ir 2.69
Cu 0.2500 0.7500 0.5000  4 Au 2.62, 4 Ir 2.69

Calculated values
**DFT formation energy**: 605 meV per atom
**Energy above the most stable polymorph in this dataset**: 0.488 eV per atom
**Spin magnetization**: 0.0 μB per formula unit